(1)
The following is a DFT calculation (PBE) of Hf12TcSn6 after structural relaxation.

energy of formation from the pure elements: 0.068 eV per atom
crystal system: trigonal
space-group type: R-3, No. 148

Cell: 7.902 7.902 7.902 Å, 100.39 100.39 100.39°
Positions (direct):
Hf1 0.786 0.598 0.483
Hf2 0.483 0.786 0.598
Hf3 0.598 0.483 0.786
Hf4 0.214 0.402 0.517
Hf5 0.517 0.214 0.402
Hf6 0.402 0.517 0.214
Hf7 0.063 0.014 0.324
Hf8 0.986 0.676 0.937
Hf9 0.676 0.937 0.986
Hf10 0.937 0.986 0.676
Hf11 0.014 0.324 0.063
Hf12 0.324 0.063 0.014
Tc1 0.000 0.000 0.000
Sn1 0.667 0.890 0.334
Sn2 0.666 0.333 0.110
Sn3 0.110 0.666 0.333
Sn4 0.333 0.110 0.666
Sn5 0.334 0.667 0.890
Sn6 0.890 0.334 0.667


(2)
The following is a DFT calculation (PBE) of Hf2TcSn after structural relaxation.

energy of formation from the pure elements: -0.210 eV per atom
crystal system: trigonal
space-group type: R-3m, No. 166

Cell: 3.280 3.280 9.088 Å, 79.60 79.60 60.00°
Positions (direct):
Hf1 0.261 0.261 0.218
Hf2 0.739 0.739 0.782
Sn1 0.500 0.500 0.500
Tc1 0.000 0.000 0.000


(3)
The following is a DFT calculation (PBE) of HfTcSn4 after structural relaxation.

energy of formation from the pure elements: -0.156 eV per atom
crystal system: tetragonal
space-group type: I4/mcm, No. 140

Cell: 6.845 6.845 7.507 Å, 117.12 117.12 90.00°
Positions (direct):
Hf1 0.500 0.500 0.000
Hf2 0.000 0.000 0.000
Tc1 0.250 0.250 0.500
Tc2 0.750 0.750 0.500
Sn1 0.485 0.985 0.277
Sn2 0.985 0.792 0.277
Sn3 0.292 0.485 0.277
Sn4 0.708 0.515 0.723
Sn5 0.015 0.208 0.723
Sn6 0.515 0.015 0.723
Sn7 0.208 0.708 0.723
Sn8 0.792 0.292 0.277